Entry 1:
Crystalline Pu2CrCl8 at its relaxed geometry, computed with PBE.

abc: 6.862 7.601 7.601
angles: 49.70 85.84 85.84
Each line ends with the local moment (μB).
Fractional coordinates of all 11 atoms:
Cl (0.094, 0.830, 0.830)  -0.03
Cl (0.564, 0.683, 0.683)  -0.04
Cl (0.436, 0.317, 0.317)  -0.04
Cl (0.256, 0.780, 0.270)  -0.04
Cl (0.744, 0.220, 0.730)  -0.04
Cl (0.744, 0.730, 0.220)  -0.04
Cl (0.906, 0.170, 0.170)  -0.03
Cl (0.256, 0.270, 0.780)  -0.04
Pu (0.525, 0.127, 0.127)  5.30
Pu (0.475, 0.873, 0.873)  5.30
Cr (0.000, 0.000, 0.000)  3.12

Output
- E: -6.39 eV/atom
- Energy relative to the elements, uncorrected: -1.57 eV per atom
- D(E_F): 1.9387 states/eV/atom

Entry 2:
Crystalline Rb2PuCrCl6 at its relaxed geometry, computed with PBE.

abc: 7.531 7.531 10.653
angles: 90.00 90.00 90.00
Each line ends with the local moment (μB).
Fractional coordinates of all 20 atoms:
Pu (0.500, 0.251, 0.000)  5.50
Pu (0.000, 0.749, 0.500)  5.50
Cl (0.241, 0.992, 0.000)  -0.02
Cl (0.000, 0.750, 0.242)  -0.02
Cl (0.500, 0.250, 0.258)  -0.02
Cl (0.000, 0.750, 0.758)  -0.02
Cl (0.500, 0.250, 0.742)  -0.02
Cl (0.759, 0.992, 0.000)  -0.02
Cl (0.258, 0.491, 0.500)  -0.02
Cl (0.758, 0.509, 0.000)  -0.02
Cl (0.741, 0.008, 0.500)  -0.02
Cl (0.259, 0.008, 0.500)  -0.02
Cl (0.242, 0.509, 0.000)  -0.02
Cl (0.742, 0.491, 0.500)  -0.02
Rb (0.500, 0.750, 0.250)  0.00
Rb (0.500, 0.750, 0.750)  0.00
Rb (0.000, 0.250, 0.750)  0.00
Rb (0.000, 0.250, 0.250)  0.00
Cr (0.500, 0.249, 0.500)  3.96
Cr (0.000, 0.751, 0.000)  3.96

Output
- E: -5.33 eV/atom
- Energy relative to the elements, uncorrected: -1.63 eV per atom
- D(E_F): 1.3494 states/eV/atom

Entry 3:
Crystalline Rb3Cr5Cl12 at its relaxed geometry, computed with PBE.

abc: 14.232 14.232 14.232
angles: 109.47 109.47 109.47
Each line ends with the local moment (μB).
Fractional coordinates of all 80 atoms:
Rb (0.875, 0.125, 0.250)  0.00
Rb (0.750, 0.875, 0.625)  0.00
Rb (0.625, 0.375, 0.750)  0.00
Rb (0.125, 0.875, 0.750)  0.00
Rb (0.875, 0.750, 0.125)  0.00
Rb (0.625, 0.250, 0.375)  0.00
Rb (0.250, 0.625, 0.875)  0.00
Rb (0.750, 0.375, 0.125)  0.00
Rb (0.125, 0.250, 0.875)  0.00
Rb (0.375, 0.750, 0.625)  0.00
Rb (0.375, 0.625, 0.250)  0.00
Rb (0.250, 0.125, 0.375)  0.00
Cr (0.125, 0.750, 0.375)  3.86
Cr (0.625, 0.875, 0.250)  3.86
Cr (0.000, 0.000, 0.000)  3.63
Cr (0.750, 0.625, 0.375)  3.86
Cr (0.000, 0.500, 0.500)  3.63
Cr (0.875, 0.250, 0.625)  3.86
Cr (0.875, 0.625, 0.750)  3.86
Cr (0.500, 0.000, 0.000)  3.63
Cr (0.000, 0.500, 0.000)  3.63
Cr (0.625, 0.750, 0.875)  3.86
Cr (0.250, 0.875, 0.125)  3.86
Cr (0.750, 0.125, 0.875)  3.86
Cr (0.500, 0.500, 0.500)  3.63
Cr (0.000, 0.000, 0.500)  3.63
Cr (0.500, 0.500, 0.000)  3.63
Cr (0.375, 0.125, 0.750)  3.86
Cr (0.375, 0.250, 0.125)  3.86
Cr (0.500, 0.000, 0.500)  3.63
Cr (0.250, 0.375, 0.625)  3.86
Cr (0.125, 0.375, 0.250)  3.86
Cl (0.686, 0.107, 0.009)  -0.01
Cl (0.177, 0.080, 0.686)  -0.01
Cl (0.607, 0.009, 0.186)  -0.01
Cl (0.186, 0.677, 0.080)  -0.01
Cl (0.677, 0.491, 0.597)  -0.01
Cl (0.107, 0.420, 0.097)  -0.01
Cl (0.814, 0.491, 0.393)  -0.01
Cl (0.323, 0.509, 0.403)  -0.01
Cl (0.597, 0.991, 0.677)  -0.01
Cl (0.080, 0.177, 0.186)  -0.01
Cl (0.403, 0.393, 0.580)  -0.01
Cl (0.597, 0.607, 0.420)  -0.01
Cl (0.097, 0.177, 0.491)  -0.01
Cl (0.491, 0.814, 0.893)  -0.01
Cl (0.403, 0.009, 0.323)  -0.01
Cl (0.920, 0.823, 0.814)  -0.01
Cl (0.893, 0.314, 0.491)  -0.01
Cl (0.814, 0.323, 0.920)  -0.01
Cl (0.080, 0.903, 0.393)  -0.01
Cl (0.823, 0.903, 0.009)  -0.01
Cl (0.420, 0.107, 0.597)  -0.01
Cl (0.393, 0.403, 0.080)  -0.01
Cl (0.686, 0.580, 0.177)  -0.01
Cl (0.903, 0.080, 0.893)  -0.01
Cl (0.393, 0.991, 0.814)  -0.01
Cl (0.009, 0.403, 0.823)  -0.01
Cl (0.607, 0.597, 0.920)  -0.01
Cl (0.509, 0.186, 0.107)  -0.01
Cl (0.009, 0.607, 0.686)  -0.01
Cl (0.580, 0.893, 0.403)  -0.01
Cl (0.991, 0.393, 0.314)  -0.01
Cl (0.323, 0.814, 0.420)  -0.01
Cl (0.920, 0.097, 0.607)  -0.01
Cl (0.580, 0.686, 0.677)  -0.01
Cl (0.823, 0.920, 0.314)  -0.01
Cl (0.893, 0.580, 0.903)  -0.01
Cl (0.097, 0.920, 0.107)  -0.01
Cl (0.314, 0.420, 0.823)  -0.01
Cl (0.491, 0.677, 0.097)  -0.01
Cl (0.509, 0.323, 0.903)  -0.01
Cl (0.177, 0.097, 0.991)  -0.01
Cl (0.991, 0.597, 0.177)  -0.01
Cl (0.107, 0.686, 0.509)  -0.01
Cl (0.677, 0.186, 0.580)  -0.01
Cl (0.186, 0.509, 0.607)  -0.01
Cl (0.420, 0.314, 0.323)  -0.01
Cl (0.314, 0.893, 0.991)  -0.01
Cl (0.903, 0.823, 0.509)  -0.01

Output
- E: -4.82 eV/atom
- Energy relative to the elements, uncorrected: -1.16 eV per atom
- D(E_F): 0.5104 states/eV/atom

Entry 4:
Crystalline Rb3CrCl7 at its relaxed geometry, computed with PBE.

abc: 6.939 9.871 9.871
angles: 90.00 90.00 90.00
Each line ends with the local moment (μB).
Fractional coordinates of all 22 atoms:
Cr (0.000, 0.500, 0.000)  2.11
Cr (0.000, 0.000, 0.500)  2.11
Cl (0.000, 0.666, 0.834)  -0.03
Cl (0.000, 0.334, 0.166)  -0.03
Cl (0.236, 0.384, 0.884)  -0.04
Cl (0.764, 0.884, 0.616)  -0.04
Cl (0.000, 0.834, 0.334)  -0.03
Cl (0.500, 0.000, 0.000)  -0.11
Cl (0.764, 0.384, 0.884)  -0.04
Cl (0.764, 0.116, 0.384)  -0.04
Cl (0.236, 0.884, 0.616)  -0.04
Cl (0.000, 0.166, 0.666)  -0.03
Cl (0.764, 0.616, 0.116)  -0.04
Cl (0.236, 0.116, 0.384)  -0.04
Cl (0.500, 0.500, 0.500)  -0.11
Cl (0.236, 0.616, 0.116)  -0.04
Rb (0.500, 0.678, 0.822)  0.00
Rb (0.500, 0.822, 0.322)  0.00
Rb (0.500, 0.178, 0.678)  0.00
Rb (0.500, 0.322, 0.178)  0.00
Rb (0.000, 0.500, 0.500)  0.00
Rb (0.000, 0.000, 0.000)  0.00

Output
- E: -3.79 eV/atom
- Energy relative to the elements, uncorrected: -1.48 eV per atom
- D(E_F): 1.2417 states/eV/atom

Look up the D(E_F) of the first one. 1.9387 states/eV/atom